Here is MgFe2O3 after structural relaxation from Alexandria via LeMat-Bulk. Energies are from PBEsol.

Lattice parameters (Å, degrees): 2.9699 2.9699 6.7816 102.65 102.65 90.00
Atoms (fractional coordinates):
O (0.8386, 0.8386, 0.6772)
O (0.1614, 0.1614, 0.3228)
O (0.5000, 0.5000, 0.0000)
Mg (0.0000, 0.0000, 0.0000)
Fe (0.3252, 0.3252, 0.6503)
Fe (0.6748, 0.6748, 0.3497)

Summary:
* space group: I4/mmm, No. 139
* raw total energy: -44.27 eV for the cell shown

***

Here is Mg4FeO5 after structural relaxation from Alexandria via LeMat-Bulk. Energies are from PBEsol.

Lattice parameters (Å, degrees): 2.9659 5.1955 6.6871 75.28 77.19 73.42
Atoms (fractional coordinates):
Mg (0.7975, 0.1049, 0.3001)
Mg (0.4024, 0.2977, 0.8976)
Mg (0.5976, 0.7023, 0.1024)
Mg (0.2025, 0.8951, 0.6999)
O (0.2005, 0.4018, 0.1971)
O (0.6040, 0.1879, 0.6040)
O (0.3960, 0.8121, 0.3960)
O (0.7995, 0.5982, 0.8029)
O (0.0000, 0.0000, 0.0000)
Fe (0.0000, 0.5000, 0.5000)

Summary:
* space group: C2/m, No. 12
* polymorph energy (0 for the lowest one): 20 meV per atom

***

Here is MgFeP2O7 after structural relaxation from Alexandria via LeMat-Bulk. Energies are from PBEsol.

Lattice parameters (Å, degrees): 6.1343 6.6782 7.0152 77.97 65.42 79.73
Atoms (fractional coordinates):
O (0.5946, 0.9238, 0.1396)
O (0.0519, 0.0368, 0.7740)
O (0.6158, 0.3272, 0.1314)
O (0.8179, 0.7469, 0.7257)
O (0.9481, 0.9632, 0.2260)
O (0.9079, 0.6249, 0.1481)
O (0.7158, 0.4116, 0.6689)
O (0.0921, 0.3751, 0.8519)
O (0.3842, 0.6728, 0.8686)
O (0.6005, 0.7566, 0.4861)
O (0.4054, 0.0762, 0.8604)
O (0.3995, 0.2434, 0.5139)
O (0.2842, 0.5884, 0.3311)
O (0.1821, 0.2531, 0.2743)
Fe (0.9170, 0.3095, 0.1843)
Fe (0.0830, 0.6905, 0.8157)
P (0.2314, 0.1803, 0.7563)
P (0.7686, 0.8197, 0.2437)
P (0.6417, 0.6348, 0.6963)
P (0.3583, 0.3652, 0.3037)
Mg (0.6948, 0.1599, 0.8822)
Mg (0.3052, 0.8401, 0.1178)

Summary:
* space group: P-1, No. 2
* raw total energy: -164.71 eV for the cell shown

***

Here is MgFeSiO4 after structural relaxation from Alexandria via LeMat-Bulk. Energies are from PBEsol.

Lattice parameters (Å, degrees): 4.7643 6.0584 10.2416 90.00 90.00 90.00
Atoms (fractional coordinates):
O (0.2752, 0.2500, 0.4491)
O (0.2303, 0.7500, 0.4125)
O (0.7248, 0.7500, 0.5509)
O (0.2821, 0.0319, 0.6643)
O (0.2697, 0.7500, 0.9125)
O (0.2248, 0.2500, 0.9491)
O (0.7752, 0.7500, 0.0509)
O (0.2821, 0.4681, 0.6643)
O (0.7697, 0.2500, 0.5875)
O (0.7179, 0.9681, 0.3357)
O (0.2179, 0.0319, 0.1643)
O (0.7303, 0.2500, 0.0875)
O (0.7821, 0.5319, 0.8357)
O (0.7821, 0.9681, 0.8357)
O (0.7179, 0.5319, 0.3357)
O (0.2179, 0.4681, 0.1643)
Mg (0.0000, 0.0000, 0.5000)
Mg (0.0000, 0.5000, 0.5000)
Mg (0.5000, 0.5000, 0.0000)
Mg (0.5000, 0.0000, 0.0000)
Fe (0.5146, 0.2500, 0.2787)
Fe (0.9854, 0.2500, 0.7787)
Fe (0.0146, 0.7500, 0.2213)
Fe (0.4854, 0.7500, 0.7213)
Si (0.5708, 0.7500, 0.4045)
Si (0.4292, 0.2500, 0.5955)
Si (0.9292, 0.7500, 0.9045)
Si (0.0708, 0.2500, 0.0955)

Summary:
* space group: Pnma, No. 62
* raw total energy: -211.60 eV for the cell shown

***

Here is MgFeSi4O10 after structural relaxation from Alexandria via LeMat-Bulk. Energies are from PBEsol.

Lattice parameters (Å, degrees): 7.2260 7.2260 14.7968 90.00 90.00 90.00
Atoms (fractional coordinates):
O (0.9162, 0.7638, 0.9256)
O (0.5838, 0.2638, 0.5744)
O (0.8066, 0.8066, 0.7500)
O (0.0838, 0.2362, 0.9256)
O (0.7530, 0.0578, 0.8766)
O (0.3066, 0.6934, 0.7500)
O (0.6934, 0.6934, 0.2500)
O (0.2362, 0.0838, 0.5744)
O (0.8066, 0.1934, 0.2500)
O (0.2530, 0.5578, 0.1234)
O (0.4422, 0.2530, 0.8766)
O (0.6934, 0.3066, 0.7500)
O (0.2530, 0.4422, 0.6234)
O (0.9162, 0.2362, 0.4256)
O (0.4422, 0.7470, 0.3766)
O (0.2470, 0.0578, 0.3766)
O (0.9422, 0.7530, 0.1234)
O (0.9422, 0.2470, 0.6234)
O (0.7470, 0.5578, 0.6234)
O (0.7638, 0.9162, 0.5744)
O (0.7530, 0.9422, 0.3766)
O (0.1934, 0.8066, 0.2500)
O (0.0578, 0.7530, 0.6234)
O (0.5578, 0.2530, 0.3766)
O (0.7638, 0.0838, 0.0744)
O (0.2362, 0.9162, 0.0744)
O (0.1934, 0.1934, 0.7500)
O (0.5838, 0.7362, 0.0744)
O (0.2638, 0.5838, 0.9256)
O (0.2470, 0.9422, 0.8766)
O (0.4162, 0.2638, 0.0744)
O (0.0838, 0.7638, 0.4256)
O (0.7362, 0.4162, 0.9256)
O (0.4162, 0.7362, 0.5744)
O (0.7470, 0.4422, 0.1234)
O (0.5578, 0.7470, 0.8766)
O (0.7362, 0.5838, 0.4256)
O (0.2638, 0.4162, 0.4256)
O (0.3066, 0.3066, 0.2500)
O (0.0578, 0.2470, 0.1234)
Si (0.3359, 0.7398, 0.8559)
Si (0.2602, 0.3359, 0.1441)
Si (0.1641, 0.2398, 0.6441)
Si (0.8359, 0.2398, 0.1441)
Si (0.1641, 0.7602, 0.1441)
Si (0.2398, 0.1641, 0.8559)
Si (0.7398, 0.3359, 0.6441)
Si (0.2398, 0.8359, 0.3559)
Si (0.7602, 0.1641, 0.3559)
Si (0.6641, 0.2602, 0.8559)
Si (0.6641, 0.7398, 0.3559)
Si (0.7398, 0.6641, 0.1441)
Si (0.7602, 0.8359, 0.8559)
Si (0.8359, 0.7602, 0.6441)
Si (0.2602, 0.6641, 0.6441)
Si (0.3359, 0.2602, 0.3559)
Fe (0.0000, 0.5000, 0.4320)
Fe (0.0000, 0.5000, 0.9320)
Fe (0.5000, 0.0000, 0.0680)
Fe (0.5000, 0.0000, 0.5680)
Mg (0.0000, 0.0000, 0.5000)
Mg (0.5000, 0.5000, 0.0000)
Mg (0.0000, 0.0000, 0.0000)
Mg (0.5000, 0.5000, 0.5000)

Summary:
* space group: P4/ncc, No. 130
* raw total energy: -504.73 eV for the cell shown

***

Here is MgFeSi2O6 after structural relaxation from Alexandria via LeMat-Bulk. Energies are from PBEsol.

Lattice parameters (Å, degrees): 4.9285 6.4802 6.4802 85.16 82.41 82.41
Atoms (fractional coordinates):
Fe (0.2500, 0.9203, 0.0797)
Fe (0.7500, 0.0797, 0.9203)
O (0.3502, 0.2274, 0.0302)
O (0.1498, 0.9698, 0.7726)
O (0.1311, 0.6208, 0.1440)
O (0.8502, 0.0302, 0.2274)
O (0.8689, 0.3792, 0.8560)
O (0.5868, 0.4154, 0.2972)
O (0.6498, 0.7726, 0.9698)
O (0.4132, 0.5846, 0.7028)
O (0.3689, 0.8560, 0.3792)
O (0.9132, 0.7028, 0.5846)
O (0.6311, 0.1440, 0.6208)
O (0.0868, 0.2972, 0.4154)
Si (0.2140, 0.7920, 0.6035)
Si (0.2860, 0.3965, 0.2080)
Si (0.7860, 0.2080, 0.3965)
Si (0.7140, 0.6035, 0.7920)
Mg (0.2500, 0.2748, 0.7252)
Mg (0.7500, 0.7252, 0.2748)

Summary:
* space group: C2/c, No. 15
* polymorph energy (0 for the lowest one): 0 meV per atom

***

Here is MgFeSi2O6 after structural relaxation from Alexandria via LeMat-Bulk. Energies are from PBEsol.

Lattice parameters (Å, degrees): 5.1091 8.7689 18.7126 90.00 90.00 90.00
Atoms (fractional coordinates):
Mg (0.1598, 0.4812, 0.8778)
Mg (0.8402, 0.0188, 0.3778)
Mg (0.1598, 0.9812, 0.6222)
Mg (0.6598, 0.0188, 0.8778)
Mg (0.3402, 0.4812, 0.3778)
Mg (0.8402, 0.5188, 0.1222)
Mg (0.3402, 0.9812, 0.1222)
Mg (0.6598, 0.5188, 0.6222)
O (0.8893, 0.1918, 0.9460)
O (0.8014, 0.8461, 0.9411)
O (0.3014, 0.6539, 0.9411)
O (0.8200, 0.4853, 0.9311)
O (0.5196, 0.4936, 0.1867)
O (0.1800, 0.0147, 0.4311)
O (0.8140, 0.7194, 0.1976)
O (0.1986, 0.6539, 0.4411)
O (0.5064, 0.1494, 0.1855)
O (0.8140, 0.2194, 0.3024)
O (0.1107, 0.3082, 0.4460)
O (0.3893, 0.3082, 0.9460)
O (0.8893, 0.6918, 0.5540)
O (0.9804, 0.4936, 0.6867)
O (0.0064, 0.3506, 0.1855)
O (0.3893, 0.8082, 0.5540)
O (0.3140, 0.2806, 0.3024)
O (0.6107, 0.6918, 0.0540)
O (0.6800, 0.9853, 0.0689)
O (0.1860, 0.2806, 0.8024)
O (0.9804, 0.9936, 0.8133)
O (0.3200, 0.0147, 0.9311)
O (0.8014, 0.3461, 0.5589)
O (0.6860, 0.2194, 0.8024)
O (0.4936, 0.8506, 0.8145)
O (0.9936, 0.1494, 0.6855)
O (0.3140, 0.7806, 0.1976)
O (0.6107, 0.1918, 0.4460)
O (0.0196, 0.5064, 0.3133)
O (0.4804, 0.0064, 0.6867)
O (0.1800, 0.5147, 0.0689)
O (0.1986, 0.1539, 0.0589)
O (0.6986, 0.3461, 0.0589)
O (0.6986, 0.8461, 0.4411)
O (0.0064, 0.8506, 0.3145)
O (0.9936, 0.6494, 0.8145)
O (0.3200, 0.5147, 0.5689)
O (0.8200, 0.9853, 0.5689)
O (0.6860, 0.7194, 0.6976)
O (0.4936, 0.3506, 0.6855)
O (0.5064, 0.6494, 0.3145)
O (0.5196, 0.9936, 0.3133)
O (0.6800, 0.4853, 0.4311)
O (0.0196, 0.0064, 0.1867)
O (0.1107, 0.8082, 0.0540)
O (0.3014, 0.1539, 0.5589)
O (0.1860, 0.7806, 0.6976)
O (0.4804, 0.5064, 0.8133)
Fe (0.8495, 0.6692, 0.3762)
Fe (0.8495, 0.1692, 0.1238)
Fe (0.6505, 0.1692, 0.6238)
Fe (0.3495, 0.3308, 0.1238)
Fe (0.3495, 0.8308, 0.3762)
Fe (0.1505, 0.8308, 0.8762)
Fe (0.6505, 0.6692, 0.8762)
Fe (0.1505, 0.3308, 0.6238)
Si (0.2006, 0.1593, 0.9718)
Si (0.4731, 0.3463, 0.7721)
Si (0.0269, 0.8463, 0.2279)
Si (0.4731, 0.8463, 0.7279)
Si (0.9731, 0.6537, 0.7279)
Si (0.7006, 0.3407, 0.9718)
Si (0.7994, 0.8407, 0.0282)
Si (0.0269, 0.3463, 0.2721)
Si (0.5269, 0.6537, 0.2279)
Si (0.2994, 0.6593, 0.0282)
Si (0.7006, 0.8407, 0.5282)
Si (0.5269, 0.1537, 0.2721)
Si (0.2994, 0.1593, 0.4718)
Si (0.7994, 0.3407, 0.4718)
Si (0.9731, 0.1537, 0.7721)
Si (0.2006, 0.6593, 0.5282)

Summary:
* space group: Pbca, No. 61
* polymorph energy (0 for the lowest one): 4 meV per atom

***

Here is Mg30TiFeO32 after structural relaxation from Alexandria via LeMat-Bulk. Energies are from PBEsol.

Lattice parameters (Å, degrees): 8.4390 8.4553 8.4553 90.00 90.00 90.00
Atoms (fractional coordinates):
Mg (0.7503, 0.5000, 0.2500)
Mg (0.7503, 0.5000, 0.7500)
Mg (0.2465, 0.2507, 0.0000)
Mg (0.7535, 0.0000, 0.7493)
Mg (0.0000, 0.5000, 0.5000)
Mg (0.0000, 0.0000, 0.5000)
Mg (0.5000, 0.0000, 0.5000)
Mg (0.2465, 0.0000, 0.7493)
Mg (0.7535, 0.2507, 0.0000)
Mg (0.7503, 0.2500, 0.5000)
Mg (0.5000, 0.5000, 0.5000)
Mg (0.5000, 0.2505, 0.2505)
Mg (0.0000, 0.7505, 0.7505)
Mg (0.2497, 0.5000, 0.7500)
Mg (0.5000, 0.2505, 0.7495)
Mg (0.5000, 0.5000, 0.0000)
Mg (0.2497, 0.5000, 0.2500)
Mg (0.5000, 0.7495, 0.7495)
Mg (0.7535, 0.0000, 0.2507)
Mg (0.2497, 0.2500, 0.5000)
Mg (0.5000, 0.7495, 0.2505)
Mg (0.0000, 0.7505, 0.2495)
Mg (0.0000, 0.5000, 0.0000)
Mg (0.7503, 0.7500, 0.5000)
Mg (0.2497, 0.7500, 0.5000)
Mg (0.0000, 0.2495, 0.7505)
Mg (0.0000, 0.2495, 0.2495)
Mg (0.7535, 0.7493, 0.0000)
Mg (0.2465, 0.7493, 0.0000)
Mg (0.2465, 0.0000, 0.2507)
O (0.7497, 0.5000, 0.5000)
O (0.5000, 0.2527, 0.0000)
O (0.2510, 0.0000, 0.5000)
O (0.5000, 0.0000, 0.2527)
O (0.5000, 0.0000, 0.7473)
O (0.5000, 0.5000, 0.2504)
O (0.5000, 0.5000, 0.7496)
O (0.7490, 0.5000, 0.0000)
O (0.7500, 0.2494, 0.2494)
O (0.0000, 0.2571, 0.0000)
O (0.0000, 0.0000, 0.7429)
O (0.5000, 0.7496, 0.5000)
O (0.5000, 0.2504, 0.5000)
O (0.0000, 0.5000, 0.2507)
O (0.2503, 0.5000, 0.5000)
O (0.2500, 0.2494, 0.7506)
O (0.7349, 0.0000, 0.0000)
O (0.2500, 0.7506, 0.2494)
O (0.7490, 0.0000, 0.5000)
O (0.2651, 0.0000, 0.0000)
O (0.5000, 0.7473, 0.0000)
O (0.0000, 0.7429, 0.0000)
O (0.0000, 0.5000, 0.7493)
O (0.0000, 0.2507, 0.5000)
O (0.0000, 0.7493, 0.5000)
O (0.7500, 0.7506, 0.7506)
O (0.7500, 0.2494, 0.7506)
O (0.7500, 0.7506, 0.2494)
O (0.2500, 0.7506, 0.7506)
O (0.0000, 0.0000, 0.2571)
O (0.2510, 0.5000, 0.0000)
O (0.2500, 0.2494, 0.2494)
Ti (0.5000, 0.0000, 0.0000)
Fe (0.0000, 0.0000, 0.0000)

Summary:
* space group: P4/mmm, No. 123
* raw total energy: -406.65 eV for the cell shown

***

Here is MgTi4FeO10 after structural relaxation from Alexandria via LeMat-Bulk. Energies are from PBEsol.

Lattice parameters (Å, degrees): 3.7445 5.1912 10.0171 90.00 90.00 111.14
Atoms (fractional coordinates):
O (0.3138, 0.6275, 0.1881)
O (0.6860, 0.3720, 0.6898)
O (0.2124, 0.4248, 0.5000)
O (0.6860, 0.3720, 0.3102)
O (0.0462, 0.0925, 0.8632)
O (0.7836, 0.5671, 0.0000)
O (0.9521, 0.9043, 0.3644)
O (0.9521, 0.9043, 0.6356)
O (0.3138, 0.6275, 0.8119)
O (0.0462, 0.0925, 0.1368)
Ti (0.8667, 0.7334, 0.8170)
Ti (0.8667, 0.7334, 0.1830)
Ti (0.1359, 0.2719, 0.6841)
Ti (0.1359, 0.2719, 0.3159)
Mg (0.1969, 0.3938, 0.0000)
Fe (0.8069, 0.6137, 0.5000)

Summary:
* space group: Amm2, No. 38
* raw total energy: -140.63 eV for the cell shown

***

Here is Mg14ZnFeO16 after structural relaxation from Alexandria via LeMat-Bulk. Energies are from PBEsol.

Lattice parameters (Å, degrees): 4.2195 8.4570 8.4617 90.00 90.00 90.00
Atoms (fractional coordinates):
O (0.0000, 0.7506, 0.0000)
O (0.0000, 0.2499, 0.5000)
O (0.5000, 0.0000, 0.0000)
O (0.0000, 0.0000, 0.2534)
O (0.5000, 0.2501, 0.2491)
O (0.5000, 0.7499, 0.7509)
O (0.0000, 0.5000, 0.7463)
O (0.0000, 0.7501, 0.5000)
O (0.5000, 0.5000, 0.5000)
O (0.0000, 0.2494, 0.0000)
O (0.5000, 0.5000, 0.0000)
O (0.0000, 0.5000, 0.2537)
O (0.0000, 0.0000, 0.7466)
O (0.5000, 0.2501, 0.7509)
O (0.5000, 0.0000, 0.5000)
O (0.5000, 0.7499, 0.2491)
Zn (0.0000, 0.0000, 0.0000)
Mg (0.0000, 0.7502, 0.7502)
Mg (0.5000, 0.0000, 0.7505)
Mg (0.5000, 0.2502, 0.0000)
Mg (0.5000, 0.2501, 0.5000)
Mg (0.5000, 0.5000, 0.7506)
Mg (0.5000, 0.7498, 0.0000)
Mg (0.0000, 0.2498, 0.7502)
Mg (0.5000, 0.0000, 0.2495)
Mg (0.0000, 0.7502, 0.2498)
Mg (0.5000, 0.5000, 0.2494)
Mg (0.0000, 0.5000, 0.5000)
Mg (0.0000, 0.0000, 0.5000)
Mg (0.0000, 0.2498, 0.2498)
Mg (0.5000, 0.7499, 0.5000)
Fe (0.0000, 0.5000, 0.0000)

Summary:
* space group: Pmmm, No. 47
* raw total energy: -199.47 eV for the cell shown

***

| no. | total moment (Bohr magnetons per cell) |
| --- | --- |
| 1 | 8.0 |
| 2 | 4.0 |
| 3 | 8.0 |
| 4 | 16.0 |
| 5 | 16.0 |
| 6 | 8.0 |
| 7 | 32.0 |
| 8 | 4.0 |
| 9 | 4.0 |
| 10 | 4.0 |